Material: Gd2ErGa
Method: DFT, PBE-GGA
State: optimized geometry

Results
For the density of states at the Fermi level, the calculation gives 4.86 states/eV/f.u. As for the energy of formation from the pure elements: -0.1238 eV/atom. The calculation puts the relative energy among the computed polymorphs at 0.1376 eV/atom. The calculation puts the total energy at -0.666 Ry/atom. The calculation puts the volume at 107.2 Å³/cell. The spin magnetization is 15.51 μB per formula unit. For the density, the calculation gives 8546 kg/m³.

abc: 5.331 5.331 5.331
angles: 60.00 60.00 60.00
Positions (direct):
Gd (0.250, 0.250, 0.250)
Gd (0.750, 0.750, 0.750)
Er (0.000, 0.000, 0.000)
Ga (0.500, 0.500, 0.500)

***

Material: ErCd3Au4
Method: DFT, PBE-GGA
State: optimized geometry

Results
For the density of states at the Fermi level, the calculation gives 1.70 states/eV/f.u. As for the energy of formation from the pure elements: -0.4088 eV/atom. The calculation puts the total energy at -0.218 Ry/atom. The calculation puts the volume at 325.6 Å³/cell. The spin magnetization is 0.00 μB per formula unit. For the density, the calculation gives 13183 kg/m³.

abc: 9.666 6.967 4.835
angles: 90.00 90.00 90.00
Positions (direct):
Er (0.000, 0.000, 0.000)
Er (0.500, 0.000, 0.000)
Cd (0.000, 0.500, 0.000)
Cd (0.250, 0.000, 0.499)
Cd (0.250, 0.500, 0.499)
Cd (0.500, 0.500, 0.000)
Cd (0.750, 0.000, 0.501)
Cd (0.750, 0.500, 0.501)
Au (0.000, 0.254, 0.500)
Au (0.000, 0.746, 0.500)
Au (0.250, 0.254, 0.999)
Au (0.250, 0.746, 0.999)
Au (0.500, 0.254, 0.500)
Au (0.500, 0.746, 0.500)
Au (0.750, 0.254, 0.001)
Au (0.750, 0.746, 0.001)

***

Number 2 is which compound?
ErCd3Au4

***

Repeat the first record exactly.
Material: Gd2ErGa
Method: DFT, PBE-GGA
State: optimized geometry

Results
For the density of states at the Fermi level, the calculation gives 4.86 states/eV/f.u. As for the energy of formation from the pure elements: -0.1238 eV/atom. The calculation puts the relative energy among the computed polymorphs at 0.1376 eV/atom. The calculation puts the total energy at -0.666 Ry/atom. The calculation puts the volume at 107.2 Å³/cell. The spin magnetization is 15.51 μB per formula unit. For the density, the calculation gives 8546 kg/m³.

abc: 5.331 5.331 5.331
angles: 60.00 60.00 60.00
Positions (direct):
Gd (0.250, 0.250, 0.250)
Gd (0.750, 0.750, 0.750)
Er (0.000, 0.000, 0.000)
Ga (0.500, 0.500, 0.500)

***

Number 2 is which compound?
ErCd3Au4

***

What did the first record say?
Material: Gd2ErGa
Method: DFT, PBE-GGA
State: optimized geometry

Results
For the density of states at the Fermi level, the calculation gives 4.86 states/eV/f.u. As for the energy of formation from the pure elements: -0.1238 eV/atom. The calculation puts the relative energy among the computed polymorphs at 0.1376 eV/atom. The calculation puts the total energy at -0.666 Ry/atom. The calculation puts the volume at 107.2 Å³/cell. The spin magnetization is 15.51 μB per formula unit. For the density, the calculation gives 8546 kg/m³.

abc: 5.331 5.331 5.331
angles: 60.00 60.00 60.00
Positions (direct):
Gd (0.250, 0.250, 0.250)
Gd (0.750, 0.750, 0.750)
Er (0.000, 0.000, 0.000)
Ga (0.500, 0.500, 0.500)